Below is an optimized crystal structure of K2CuPt, with properties calculated at the PBE level.

a b c (Å): 6.0618 6.0618 2.8471
angles (deg): 90.00 90.00 90.16
Closest atoms and distances in Å follow each position.
Sites, in units of the cell vectors:
K 0.0000 0.5000 0.0000  2 K 2.85
K 0.5000 0.0000 0.0000  2 K 2.85
Cu 0.0000 0.0000 0.5000  2 Cu 2.85
Pt 0.5000 0.5000 0.5000  2 Pt 2.85

DFT total energy = -2.733 eV/atom
Total magnetization = 0.00 Bohr magnetons per cell
Density of states at the Fermi level = 0.65 states/eV per atom
Relative energy among the computed polymorphs = 278 meV per atom
ρ = 5.35 g/cm³



Below is an optimized crystal structure of Li4SnH2, with properties calculated at the PBE level.

a b c (Å): 6.5819 6.5819 6.5819
angles (deg): 134.28 134.28 66.65
Closest atoms and distances in Å follow each position.
Sites, in units of the cell vectors:
Li 0.0000 0.5000 0.5000  2 Sn 2.56, 4 H 2.76
Li 0.2484 0.2484 0.0000  1 H 1.73
Li 0.5000 0.0000 0.5000  2 Sn 2.56, 4 H 2.76
Li 0.7516 0.7516 0.0000  1 H 1.73
Sn 0.0000 0.0000 0.0000  6 Li 2.56-2.73
H 0.4061 0.4061 0.0000  1 Li 1.73
H 0.5939 0.5939 0.0000  1 Li 1.73

DFT total energy = -2.338 eV/atom
Total magnetization = 0.00 Bohr magnetons per cell
Density of states at the Fermi level = 0.61 states/eV per atom
ρ = 1.71 g/cm³



Below is an optimized crystal structure of CaLaNiAu, with properties calculated at the PBE level.

a b c (Å): 4.2706 6.0437 6.0437
angles (deg): 39.37 90.00 90.00
Closest atoms and distances in Å follow each position.
Sites, in units of the cell vectors:
Ca 0.0000 0.0000 0.0000  4 Au 3.05, 3 Ni 3.13-3.27
La 0.5000 0.7196 0.7196  4 Ni 3.02, 3 Au 3.15-3.29
Ni 0.0000 0.2754 0.2754  2 Au 2.77, 4 La 3.02
Au 0.5000 0.4310 0.4310  2 Ni 2.77, 4 Ca 3.05

DFT total energy = -4.526 eV/atom
Total magnetization = 0.00 Bohr magnetons per cell
Density of states at the Fermi level = 0.76 states/eV per atom
Relative energy among the computed polymorphs = 0 meV per atom
ρ = 7.29 g/cm³



Below is an optimized crystal structure of Hf5ScC6, with properties calculated at the PBE level.

a b c (Å): 5.7004 5.7004 5.6956
angles (deg): 99.58 99.58 120.01
Closest atoms and distances in Å follow each position.
Sites, in units of the cell vectors:
Hf 0.0000 0.0000 0.0000  6 C 2.30-2.33
Hf 0.1670 0.8330 0.5000  6 C 2.32-2.33
Hf 0.3342 0.6658 0.0000  6 C 2.31-2.33
Hf 0.6658 0.3342 0.0000  6 C 2.31-2.33
Hf 0.8330 0.1670 0.5000  6 C 2.32-2.33
Sc 0.5000 0.5000 0.5000  6 C 2.35
C 0.0791 0.4160 0.2483  5 Hf 2.31-2.33, 1 Sc 2.35
C 0.2473 0.2473 0.7524  5 Hf 2.30-2.33, 1 Sc 2.35
C 0.4160 0.0791 0.2483  5 Hf 2.31-2.33, 1 Sc 2.35
C 0.5840 0.9209 0.7517  5 Hf 2.31-2.33, 1 Sc 2.35
C 0.7527 0.7527 0.2476  5 Hf 2.30-2.33, 1 Sc 2.35
C 0.9209 0.5840 0.7517  5 Hf 2.31-2.33, 1 Sc 2.35

DFT total energy = -10.127 eV/atom
Total magnetization = 0.00 Bohr magnetons per cell
Density of states at the Fermi level = 0.29 states/eV per atom
ρ = 11.09 g/cm³